# 1
VASP calculation (PBE) on a relaxed structure of Ac2MgScAu6.

Values from the calculation:
energy relative to the elements	-0.6368	eV/atom
symmetry	P-1 (2)

a b c (Å): 8.0847 5.7213 8.6310
angles (deg): 71.31 41.29 80.43
Last column: nearest neighbours and their distance in Å.
Sites, in units of the cell vectors:
Ac  0.3111  0.7906  0.4731  6 Au 3.05-3.36
Ac  0.6889  0.2094  0.5269  6 Au 3.05-3.36
Mg  0.0000  0.0000  0.0000  4 Au 2.73-2.96
Sc  0.5000  0.5000  0.0000  6 Au 2.74-2.87
Au  0.2286  0.5753  0.9132  1 Mg 2.73, 1 Sc 2.74, 2 Au 2.93
Au  0.7368  0.9340  0.8978  3 Au 2.78-2.93, 1 Sc 2.87, 1 Mg 2.96
Au  0.1338  0.3154  0.5204  2 Au 2.78-2.90, 1 Sc 2.84, 1 Ac 3.05
Au  0.7714  0.4247  0.0868  1 Mg 2.73, 1 Sc 2.74, 2 Au 2.93
Au  0.2632  0.0660  0.1022  3 Au 2.78-2.93, 1 Sc 2.87, 1 Mg 2.96
Au  0.8662  0.6846  0.4796  2 Au 2.78-2.90, 1 Sc 2.84, 1 Ac 3.05

=====

# 2
VASP calculation (PBE) on a relaxed structure of SrBePt3.

Values from the calculation:
energy relative to the elements	-0.3041	eV/atom
symmetry	Fd-3m (227)
offset from the most stable computed form	0.440	eV per atom

a b c (Å): 8.2919 8.2919 8.2919
angles (deg): 60.00 60.00 60.00
Last column: nearest neighbours and their distance in Å.
Sites, in units of the cell vectors:
Sr  0.6250  0.6250  0.6250  6 Pt 3.02
Sr  0.6250  0.1250  0.6250  6 Pt 3.02
Sr  0.1250  0.6250  0.6250  6 Pt 3.02
Sr  0.6250  0.6250  0.1250  6 Pt 3.02
Pt  0.8125  0.1875  0.1875  2 Be 2.20
Pt  0.0625  0.4375  0.4375  2 Be 2.20
Pt  0.4375  0.4375  0.0625  2 Be 2.20
Pt  0.4375  0.0625  0.0625  2 Be 2.20
Pt  0.0625  0.4375  0.0625  2 Be 2.20
Pt  0.8125  0.1875  0.8125  2 Be 2.20
Pt  0.4375  0.0625  0.4375  2 Be 2.20
Pt  0.0625  0.0625  0.4375  2 Be 2.20
Pt  0.1875  0.8125  0.1875  2 Be 2.20
Pt  0.1875  0.8125  0.8125  2 Be 2.20
Pt  0.1875  0.1875  0.8125  2 Be 2.20
Pt  0.8125  0.8125  0.1875  2 Be 2.20
Be  0.1250  0.1250  0.1250  6 Pt 2.20
Be  0.1250  0.6250  0.1250  6 Pt 2.20
Be  0.6250  0.1250  0.1250  6 Pt 2.20
Be  0.1250  0.1250  0.6250  6 Pt 2.20

=====

# 3
VASP calculation (PBE) on a relaxed structure of TcMo2Os.

Values from the calculation:
energy relative to the elements	0.2173	eV/atom
symmetry	Cmmm (65)
offset from the most stable computed form	0.112	eV per atom

a b c (Å): 2.7192 2.7192 8.8051
angles (deg): 90.00 90.00 110.44
Last column: nearest neighbours and their distance in Å.
Sites, in units of the cell vectors:
Mo  0.0000  0.0000  0.9994  2 Tc 2.69, 2 Os 2.70, 4 Mo 2.72
Mo  0.0000  0.0000  0.5006  2 Tc 2.69, 2 Os 2.70, 4 Mo 2.72
Os  0.5000  0.5000  0.2500  4 Mo 2.70, 4 Os 2.72
Tc  0.5000  0.5000  0.7500  4 Mo 2.69, 4 Tc 2.72

=====

# 4
VASP calculation (PBE) on a relaxed structure of MnNiSN2.

Values from the calculation:
symmetry	P4/mmm (123)
offset from the most stable computed form	0.375	eV per atom

a b c (Å): 3.6035 3.6035 5.2064
angles (deg): 90.00 90.00 90.00
Last column: nearest neighbours and their distance in Å.
Sites, in units of the cell vectors:
Ni  0.0000  0.0000  0.0000  4 N 1.80
S  0.0000  0.0000  0.5000  4 Mn 2.55, 2 Ni 2.60
Mn  0.5000  0.5000  0.5000  4 S 2.55
N  0.0000  0.5000  0.0000  2 Ni 1.80
N  0.5000  0.0000  0.0000  2 Ni 1.80

=====

no.,D(E_F) (states/eV per cell),final energy (eV per cell)
1,4.846,-42.2
2,12.498,-100.2
3,5.014,-42.4
4,3.923,-30.5